1.
LiCo2BAs | GGA-PBE | relaxed

CIF file:
```
data_LiCo2BAs
_chemical_formula_sum 'Li2 Co4 B2 As2'
_symmetry_space_group_name_H-M 'I 4 m m'
_symmetry_Int_Tables_number 107
_symmetry_space_group_name_Hall 'I 4 -2'
_cell_length_a 3.623
_cell_length_b 3.623
_cell_length_c 8.944
_cell_angle_alpha 90.00
_cell_angle_beta 90.00
_cell_angle_gamma 90.00
loop_
_atom_site_label
_atom_site_type_symbol
_atom_site_fract_x
_atom_site_fract_y
_atom_site_fract_z
Li1 Li 0.000 0.000 0.000
Co1 Co 0.000 0.500 0.269
B1 B 0.000 0.000 0.369
As1 As 0.000 0.000 0.611
```



2.
LiPuTl6 | GGA-PBE | relaxed

CIF file:
```
data_LiPuTl6
_chemical_formula_sum 'Li2 Pu2 Tl12'
_symmetry_space_group_name_H-M 'C m m m'
_symmetry_Int_Tables_number 65
_symmetry_space_group_name_Hall '-C 2 2'
_cell_length_a 8.935
_cell_length_b 10.048
_cell_length_c 4.892
_cell_angle_alpha 90.00
_cell_angle_beta 90.00
_cell_angle_gamma 90.00
loop_
_atom_site_label
_atom_site_type_symbol
_atom_site_fract_x
_atom_site_fract_y
_atom_site_fract_z
Li1 Li 0.000 0.000 0.000
Pu1 Pu 0.000 0.500 0.000
Tl1 Tl 0.000 0.265 0.500
Tl2 Tl 0.224 0.000 0.500
Tl3 Tl 0.250 0.250 0.000
```



3.
LiCeZn11 | GGA-PBE | relaxed

CIF file:
```
data_LiCeZn11
_chemical_formula_sum 'Li2 Ce2 Zn22'
_symmetry_space_group_name_H-M 'C 1 2/m 1'
_symmetry_Int_Tables_number 12
_cell_length_a 5.203
_cell_length_b 12.590
_cell_length_c 6.842
_cell_angle_alpha 90.00
_cell_angle_beta 112.06
_cell_angle_gamma 90.00
loop_
_symmetry_equiv_pos_as_xyz
'x,y,z'
'-x,-y,-z'
'-x,y,-z'
'x,-y,z'
'x+1/2,y+1/2,z'
'-x+1/2,-y+1/2,-z'
'-x+1/2,y+1/2,-z'
'x+1/2,-y+1/2,z'
loop_
_atom_site_label
_atom_site_type_symbol
_atom_site_fract_x
_atom_site_fract_y
_atom_site_fract_z
Li1 Li 0.000 0.000 0.000
Ce1 Ce 0.000 0.500 0.500
Zn1 Zn 0.000 0.500 0.000
Zn2 Zn 0.108 0.109 0.723
Zn3 Zn 0.186 0.324 0.855
Zn4 Zn 0.250 0.250 0.500
```



no.,E_form (kJ per mole of atoms)
1,-28.0
2,-2.2
3,-16.9